Version one
HfTeS: relaxed, PBE.

a = 3.796 Å, b = 3.796 Å, c = 7.122 Å
α = 90.00°, β = 90.00°, γ = 60.00°
Positions (direct):
Te1 0.333 0.333 0.761
S1 0.667 0.667 0.211
Hf1 0.000 0.000 0.029

Summary:
**Crystal system**: trigonal

Version two
HfTeS: relaxed, PBE.

a = 3.806 Å, b = 5.037 Å, c = 9.470 Å
α = 90.00°, β = 90.00°, γ = 90.00°
Positions (direct):
Hf1 0.000 0.500 0.373
Hf2 0.500 0.000 0.627
S1 0.500 0.500 0.569
S2 0.000 0.000 0.431
Te1 0.000 0.000 0.841
Te2 0.500 0.500 0.159

Summary:
**Crystal system**: orthorhombic

Order from most stable to least stable according to the calculation: version one, version two

Version one
HfTeS: relaxed, PBE.

a = 3.749 Å, b = 6.568 Å, c = 7.642 Å
α = 91.92°, β = 104.20°, γ = 90.00°
Positions (direct):
S1 0.909 0.163 0.819
S2 0.091 0.837 0.181
Te1 0.371 0.656 0.742
Te2 0.629 0.344 0.258
Hf1 0.500 0.000 0.000
Hf2 0.000 0.500 0.000

Summary:
**Crystal system**: monoclinic

Version two
HfTeS: relaxed, PBE.

a = 3.913 Å, b = 4.410 Å, c = 4.410 Å
α = 120.00°, β = 90.00°, γ = 90.00°
Positions (direct):
S1 0.167 0.333 0.667
Te1 0.667 0.667 0.333
Hf1 0.167 0.000 0.000

Summary:
**Crystal system**: hexagonal

Version three
HfTeS: relaxed, PBE.

a = 6.568 Å, b = 3.802 Å, c = 14.494 Å
α = 89.99°, β = 90.00°, γ = 90.00°
Positions (direct):
Hf1 0.743 0.500 0.723
Hf2 0.743 0.000 0.277
Hf3 0.243 0.500 0.277
Hf4 0.243 0.000 0.723
Te1 0.077 0.500 0.855
Te2 0.077 0.000 0.145
Te3 0.577 0.000 0.855
Te4 0.577 0.500 0.145
S1 0.910 0.500 0.366
S2 0.910 0.000 0.634
S3 0.410 0.500 0.634
S4 0.410 0.000 0.366

Summary:
**Crystal system**: orthorhombic

Version four
HfTeS: relaxed, PBE.

a = 3.262 Å, b = 3.262 Å, c = 7.327 Å
α = 102.86°, β = 102.86°, γ = 90.00°
Positions (direct):
S1 0.279 0.279 0.558
Te1 0.033 0.033 0.066
Hf1 0.688 0.688 0.375

Summary:
**Crystal system**: tetragonal

Order from most stable to least stable according to the calculation: version three, version one, version four, version two